Record 1
This record from Alexandria describes a relaxed Li3Nb6O11 crystal. The functional is GGA-PBEsol.

Results
ρ (Mg/m³): 5.39
Energy (eV/atom): -8.691
Energy relative to the elements, uncorrected (eV/atom): -2.2621
M_tot (μB/f.u.): 0.051

Cell lengths 5.9839, 5.9839, 7.4902 Å; angles 90.00, 90.00, 120.00 degrees
Fractional positions:
1 Li 0.0000 0.0000 0.0000
2 Li 0.3333 0.6667 0.0809
3 Li 0.6667 0.3333 0.9191
4 Nb 0.1598 0.3196 0.6647
5 Nb 0.1598 0.8402 0.6647
6 Nb 0.3196 0.1598 0.3353
7 Nb 0.6804 0.8402 0.6647
8 Nb 0.8402 0.1598 0.3353
9 Nb 0.8402 0.6804 0.3353
10 O 0.0000 0.5000 0.5000
11 O 0.1595 0.3189 0.1846
12 O 0.1595 0.8405 0.1846
13 O 0.3189 0.1595 0.8154
14 O 0.3333 0.6667 0.8208
15 O 0.5000 0.0000 0.5000
16 O 0.5000 0.5000 0.5000
17 O 0.6667 0.3333 0.1792
18 O 0.6811 0.8405 0.1846
19 O 0.8405 0.1595 0.8154
20 O 0.8405 0.6811 0.8154

***

Record 2
This record from Alexandria describes a relaxed Sr2TcSe crystal. The functional is GGA-PBEsol.

Results
ρ (Mg/m³): 6.52
Energy (eV/atom): -4.327
Energy relative to the elements, uncorrected (eV/atom): 0.3723
M_tot (μB/f.u.): 1.005

Cell lengths 7.1044, 7.1044, 7.1044 Å; angles 90.00, 90.00, 90.00 degrees
Fractional positions:
1 Sr 0.0000 0.0000 0.0000
2 Sr 0.0000 0.5000 0.5000
3 Sr 0.2500 0.2500 0.2500
4 Sr 0.2500 0.7500 0.7500
5 Sr 0.5000 0.0000 0.5000
6 Sr 0.5000 0.5000 0.0000
7 Sr 0.7500 0.2500 0.7500
8 Sr 0.7500 0.7500 0.2500
9 Tc 0.2500 0.2500 0.7500
10 Tc 0.2500 0.7500 0.2500
11 Tc 0.7500 0.2500 0.2500
12 Tc 0.7500 0.7500 0.7500
13 Se 0.0000 0.0000 0.5000
14 Se 0.0000 0.5000 0.0000
15 Se 0.5000 0.0000 0.0000
16 Se 0.5000 0.5000 0.5000

***

Record 3
This record from Alexandria describes a relaxed LiP2 crystal. The functional is GGA-PBEsol.

Results
ρ (Mg/m³): 2.45
Energy (eV/atom): -4.766
M_tot (μB/f.u.): 0.000
Offset from the most stable computed form (meV/atom): 85
Formation energy from the elements (eV per atom): -0.25

Cell lengths 3.4100, 16.8330, 3.2506 Å; angles 90.00, 90.00, 90.00 degrees
Fractional positions:
1 Li 0.0000 0.1240 0.2500
2 Li 0.0000 0.8760 0.7500
3 Li 0.5000 0.3760 0.7500
4 Li 0.5000 0.6240 0.2500
5 P 0.0000 0.2565 0.7500
6 P 0.0000 0.4572 0.2500
7 P 0.0000 0.5428 0.7500
8 P 0.0000 0.7435 0.2500
9 P 0.5000 0.0428 0.7500
10 P 0.5000 0.2435 0.2500
11 P 0.5000 0.7565 0.7500
12 P 0.5000 0.9572 0.2500

***

Record 4
This record from Alexandria describes a relaxed BaBeSi3 crystal. The functional is GGA-PBEsol.

Results
ρ (Mg/m³): 2.30
Energy (eV/atom): -2.370
Energy relative to the elements, uncorrected (eV/atom): 2.3074
M_tot (μB/f.u.): 0.001
Offset from the most stable computed form (meV/atom): 2039

Cell lengths 5.5024, 5.5024, 5.5024 Å; angles 90.00, 90.00, 90.00 degrees
Fractional positions:
1 Ba 0.0000 0.0000 0.0000
2 Be 0.5000 0.5000 0.5000
3 Si 0.0000 0.0000 0.5000
4 Si 0.0000 0.5000 0.0000
5 Si 0.5000 0.0000 0.0000

***

Record 5
This record from Alexandria describes a relaxed GeSOF2 crystal. The functional is GGA-PBEsol.

Results
ρ (Mg/m³): 3.75
Energy (eV/atom): -4.113
Energy relative to the elements, uncorrected (eV/atom): -0.4277
M_tot (μB/f.u.): 0.000
Offset from the most stable computed form (meV/atom): 326

Cell lengths 4.5481, 4.5481, 3.3997 Å; angles 90.00, 90.00, 90.00 degrees
Fractional positions:
1 Ge 0.0000 0.0000 0.0000
2 S 0.5000 0.5000 0.5000
3 O 0.5000 0.5000 0.0000
4 F 0.0000 0.5000 0.5000
5 F 0.5000 0.0000 0.5000

***

Record 6
This record from Alexandria describes a relaxed Ca2Tl2Ag crystal. The functional is GGA-PBEsol.

Results
ρ (Mg/m³): 6.77
Energy (eV/atom): -2.362
M_tot (μB/f.u.): 0.000
Offset from the most stable computed form (meV/atom): 209
Formation energy from the elements (eV per atom): 0.21

Cell lengths 4.5824, 4.5824, 13.9451 Å; angles 90.00, 90.00, 90.00 degrees
Fractional positions:
1 Ca 0.0000 0.5000 0.2500
2 Ca 0.0000 0.5000 0.7500
3 Ca 0.5000 0.0000 0.2500
4 Ca 0.5000 0.0000 0.7500
5 Tl 0.0000 0.0000 0.0970
6 Tl 0.0000 0.0000 0.9030
7 Tl 0.5000 0.5000 0.4030
8 Tl 0.5000 0.5000 0.5970
9 Ag 0.0000 0.0000 0.5000
10 Ag 0.5000 0.5000 0.0000